Material: K2CoHg2H4
Method: DFT, PBE
State: relaxed

a b c (Å): 6.0657 6.0657 6.0657
angles (deg): 100.68 114.04 114.04
Last column: magnetic moment on the atom in μB.
Fractional positions:
K  0.5000  0.7500  0.2500  0.00
K  0.5000  0.2500  0.7500  0.00
Co  0.0000  0.0000  0.0000  -0.23
Hg  0.0000  0.6812  0.6812  -0.01
Hg  0.0000  0.3188  0.3188  -0.01
H  0.0000  0.8313  0.1687  0.00
H  0.6626  0.8313  0.8313  0.00
H  0.0000  0.1687  0.8313  0.00
H  0.3374  0.1687  0.1687  0.00

crystal system: tetragonal
uncorrected energy: -23.93 eV for the cell shown
D(E_F): 7.3 states/eV/cell


Material: CoHgHPd2
Method: DFT, PBE
State: relaxed

a b c (Å): 4.0429 4.0429 3.9784
angles (deg): 90.00 90.00 90.00
Last column: magnetic moment on the atom in μB.
Fractional positions:
H  0.0000  0.0000  0.0000  -0.01
Co  0.0000  0.0000  0.5000  1.67
Hg  0.5000  0.5000  0.5000  -0.01
Pd  0.0000  0.5000  0.0000  0.09
Pd  0.5000  0.0000  0.0000  0.09

crystal system: tetragonal
uncorrected energy: -20.89 eV for the cell shown
D(E_F): 6.8 states/eV/cell


Material: CoHgHRh2
Method: DFT, PBE
State: relaxed

a b c (Å): 4.0137 4.0137 3.8954
angles (deg): 90.00 90.00 90.00
Last column: magnetic moment on the atom in μB.
Fractional positions:
Co  0.0000  0.0000  0.5000  1.91
Rh  0.0000  0.5000  0.0000  0.48
Rh  0.5000  0.0000  0.0000  0.48
Hg  0.5000  0.5000  0.5000  0.01
H  0.0000  0.0000  0.0000  -0.01

crystal system: tetragonal
uncorrected energy: -24.61 eV for the cell shown
D(E_F): 6.7 states/eV/cell


Material: CoHg2HS
Method: DFT, PBE
State: relaxed

a b c (Å): 5.2762 3.0775 5.2762
angles (deg): 90.00 90.00 90.00
Last column: magnetic moment on the atom in μB.
Fractional positions:
H  0.0000  0.0000  0.0000  0.00
S  0.0000  0.5000  0.0000  0.00
Co  0.5000  0.5000  0.5000  1.90
Hg  0.0000  0.0000  0.5000  0.01
Hg  0.5000  0.0000  0.0000  -0.03

crystal system: tetragonal
uncorrected energy: -11.91 eV for the cell shown
D(E_F): 8.3 states/eV/cell


Material: Sc2CoHgH
Method: DFT, PBE
State: relaxed

a b c (Å): 4.6577 4.6577 3.4983
angles (deg): 90.00 90.00 90.00
Last column: magnetic moment on the atom in μB.
Fractional positions:
Sc  0.0000  0.5000  0.0000  -0.05
Sc  0.5000  0.0000  0.0000  -0.05
H  0.0000  0.0000  0.0000  0.00
Co  0.0000  0.0000  0.5000  0.57
Hg  0.5000  0.5000  0.5000  0.00

crystal system: tetragonal
uncorrected energy: -25.20 eV for the cell shown
D(E_F): 3.2 states/eV/cell


Material: Sr2CoHgH
Method: DFT, PBE
State: relaxed

a b c (Å): 5.5741 4.8464 5.5741
angles (deg): 90.00 90.00 90.00
Fractional positions:
Sr  0.0000  0.0000  0.5000
Sr  0.5000  0.0000  0.0000
Co  0.0000  0.0000  0.0000
Hg  0.0000  0.5000  0.0000
H  0.5000  0.5000  0.5000

crystal system: tetragonal
uncorrected energy: -12.65 eV for the cell shown
D(E_F): 3.0 states/eV/cell


Material: TiCoHgH2
Method: DFT, PBE
State: relaxed

a b c (Å): 3.7744 4.5475 3.7744
angles (deg): 90.00 90.00 90.00
Last column: magnetic moment on the atom in μB.
Fractional positions:
H  0.0000  0.0000  0.5000  0.00
H  0.5000  0.0000  0.0000  0.00
Co  0.0000  0.0000  0.0000  0.00
Hg  0.5000  0.5000  0.5000  0.03
Ti  0.0000  0.5000  0.0000  0.42

crystal system: tetragonal
uncorrected energy: -19.14 eV for the cell shown
D(E_F): 4.0 states/eV/cell


Material: Ti2CoHgH
Method: DFT, PBE
State: relaxed

a b c (Å): 5.1258 3.2745 5.1258
angles (deg): 90.00 90.00 90.00
Fractional positions:
H  0.0000  0.5000  0.0000
Co  0.5000  0.5000  0.5000
Hg  0.0000  0.0000  0.0000
Ti  0.0000  0.0000  0.5000
Ti  0.5000  0.0000  0.0000

crystal system: tetragonal
D(E_F): 8.1 states/eV/cell
polymorph energy (0 for the lowest one): 123.69 kJ/mol of atoms


Material: Ti2CoHgH
Method: DFT, PBE
State: relaxed

a b c (Å): 4.1095 4.1095 3.8506
angles (deg): 90.00 90.00 90.00
Last column: magnetic moment on the atom in μB.
Fractional positions:
H  0.0000  0.0000  0.0000  0.00
Co  0.0000  0.0000  0.5000  1.09
Hg  0.5000  0.5000  0.5000  0.01
Ti  0.0000  0.5000  0.0000  0.24
Ti  0.5000  0.0000  0.0000  0.24

crystal system: tetragonal
D(E_F): 4.9 states/eV/cell
polymorph energy (0 for the lowest one): 0.00 kJ/mol of atoms


Material: Y2CoHgH
Method: DFT, PBE
State: relaxed

a b c (Å): 5.0233 5.0233 3.6132
angles (deg): 90.00 90.00 90.00
Last column: magnetic moment on the atom in μB.
Fractional positions:
Y  0.0000  0.5000  0.0000  -0.05
Y  0.5000  0.0000  0.0000  -0.05
H  0.0000  0.0000  0.0000  0.00
Co  0.0000  0.0000  0.5000  0.85
Hg  0.5000  0.5000  0.5000  0.01

crystal system: tetragonal
uncorrected energy: -25.37 eV for the cell shown
D(E_F): 3.0 states/eV/cell


Material: Zn2CoHgH
Method: DFT, PBE
State: relaxed

a b c (Å): 4.3290 4.3290 3.3561
angles (deg): 90.00 90.00 90.00
Fractional positions:
H  0.0000  0.0000  0.0000
Zn  0.0000  0.5000  0.0000
Zn  0.5000  0.0000  0.0000
Co  0.0000  0.0000  0.5000
Hg  0.5000  0.5000  0.5000

crystal system: tetragonal
uncorrected energy: -12.34 eV for the cell shown
D(E_F): 2.5 states/eV/cell


Material: Ho4Co2H
Method: DFT, PBE
State: relaxed

a b c (Å): 4.5275 4.5275 7.6572
angles (deg): 72.80 72.80 90.00
Fractional positions:
H  0.0000  0.0000  0.0000
Co  0.8761  0.8761  0.2479
Co  0.1239  0.1239  0.7521
Ho  0.6897  0.6897  0.6205
Ho  0.3103  0.3103  0.3795
Ho  0.0000  0.5000  0.0000
Ho  0.5000  0.0000  0.0000

crystal system: tetragonal
D(E_F): 8.5 states/eV/cell
polymorph energy (0 for the lowest one): 17.99 kJ/mol of atoms


Material: HoCoH4
Method: DFT, PBE
State: relaxed

a b c (Å): 5.2370 6.0702 4.9074
angles (deg): 105.60 97.38 130.92
Fractional positions:
Ho  0.3870  0.6370  0.2739
Ho  0.6130  0.3630  0.7261
Co  0.2951  0.0451  0.0902
Co  0.7049  0.9549  0.9098
H  0.9017  0.2241  0.7934
H  0.9395  0.8942  0.7656
H  0.3917  0.5693  0.7934
H  0.3262  0.8714  0.7656
H  0.6738  0.1286  0.2344
H  0.6083  0.4307  0.2066
H  0.0605  0.1058  0.2344
H  0.0983  0.7759  0.2066

crystal system: monoclinic
uncorrected energy: -54.21 eV for the cell shown
D(E_F): 2.7 states/eV/cell


Material: Ho3Co5H12
Method: DFT, PBE
State: relaxed

a b c (Å): 9.5949 9.5949 9.5949
angles (deg): 109.47 109.47 109.47
Last column: magnetic moment on the atom in μB.
Fractional positions:
Ho  0.7500  0.3750  0.1250  -0.17
Ho  0.8750  0.7500  0.1250  -0.17
Ho  0.3750  0.7500  0.6250  -0.17
Ho  0.2500  0.1250  0.3750  -0.17
Ho  0.8750  0.1250  0.2500  -0.17
Ho  0.3750  0.6250  0.2500  -0.17
Ho  0.6250  0.3750  0.7500  -0.17
Ho  0.1250  0.8750  0.7500  -0.17
Ho  0.7500  0.8750  0.6250  -0.17
Ho  0.6250  0.2500  0.3750  -0.17
Ho  0.1250  0.2500  0.8750  -0.17
Ho  0.2500  0.6250  0.8750  -0.17
Co  0.1250  0.3750  0.2500  0.93
Co  0.0000  0.5000  0.0000  -1.08
Co  0.0000  0.0000  0.0000  -1.08
Co  0.3750  0.2500  0.1250  0.93
Co  0.5000  0.0000  0.5000  -1.08
Co  0.5000  0.5000  0.0000  -1.08
Co  0.1250  0.7500  0.3750  0.93
Co  0.7500  0.1250  0.8750  0.93
Co  0.7500  0.6250  0.3750  0.93
Co  0.3750  0.1250  0.7500  0.93
Co  0.6250  0.8750  0.2500  0.93
Co  0.5000  0.5000  0.5000  -1.08
Co  0.5000  0.0000  0.0000  -1.08
Co  0.0000  0.0000  0.5000  -1.08
Co  0.2500  0.3750  0.6250  0.93
Co  0.2500  0.8750  0.1250  0.93
Co  0.0000  0.5000  0.5000  -1.08
Co  0.8750  0.2500  0.6250  0.93
Co  0.6250  0.7500  0.8750  0.93
Co  0.8750  0.6250  0.7500  0.93
H  0.6900  0.1054  0.0141  0.00
H  0.3241  0.5141  0.4087  0.00
H  0.9859  0.3946  0.3100  0.00
H  0.5141  0.1900  0.1054  0.00
H  0.5846  0.6900  0.6759  0.00
H  0.9859  0.5913  0.1759  0.00
H  0.3241  0.8100  0.4154  0.00
H  0.0913  0.9154  0.1054  0.00
H  0.5913  0.9859  0.6759  0.00
H  0.6900  0.5846  0.1759  0.00
H  0.8100  0.4859  0.3946  0.00
H  0.8241  0.9087  0.0141  0.00
H  0.1054  0.6900  0.5141  0.00
H  0.3946  0.4087  0.0846  0.00
H  0.0846  0.9087  0.3946  0.00
H  0.4154  0.1054  0.5913  0.00
H  0.0846  0.1759  0.1900  0.00
H  0.4859  0.6759  0.0913  0.00
H  0.8241  0.9154  0.3100  0.00
H  0.1054  0.4154  0.0913  0.00
H  0.3946  0.9859  0.8100  0.00
H  0.5913  0.6054  0.4154  0.00
H  0.9087  0.8241  0.5141  0.00
H  0.8100  0.3241  0.9154  0.00
H  0.4087  0.3946  0.5846  0.00
H  0.0913  0.1759  0.4859  0.00
H  0.1900  0.6759  0.0846  0.00
H  0.1759  0.0846  0.6900  0.00
H  0.6054  0.0141  0.1900  0.00
H  0.8946  0.5846  0.9087  0.00
H  0.5141  0.3241  0.9087  0.00
H  0.5846  0.8946  0.4087  0.00
H  0.9154  0.8241  0.8100  0.00
H  0.9154  0.0913  0.6054  0.00
H  0.8946  0.3100  0.4859  0.00
H  0.1759  0.0913  0.9859  0.00
H  0.6054  0.5913  0.9154  0.00
H  0.4087  0.0141  0.3241  0.00
H  0.3100  0.4154  0.8241  0.00
H  0.1900  0.5141  0.6054  0.00
H  0.9087  0.0846  0.8946  0.00
H  0.6759  0.1900  0.5846  0.00
H  0.4859  0.8100  0.8946  0.00
H  0.0141  0.4087  0.8241  0.00
H  0.4154  0.3100  0.3241  0.00
H  0.0141  0.6054  0.6900  0.00
H  0.6759  0.4859  0.5913  0.00
H  0.3100  0.8946  0.9859  0.00

crystal system: cubic
uncorrected energy: -377.09 eV for the cell shown
D(E_F): 16.5 states/eV/cell


Material: Ho4Co2H
Method: DFT, PBE
State: relaxed

a b c (Å): 3.7319 5.6492 7.0851
angles (deg): 100.06 105.27 90.00
Fractional positions:
Ho  0.1570  0.8251  0.3141
Ho  0.8430  0.1749  0.6859
Ho  0.4192  0.7201  0.8383
Ho  0.5808  0.2799  0.1617
Co  0.2340  0.3751  0.4680
Co  0.7660  0.6249  0.5320
H  0.0000  0.0000  0.0000

crystal system: monoclinic
D(E_F): 6.5 states/eV/cell
polymorph energy (0 for the lowest one): 0.00 kJ/mol of atoms


Material: Ho12Co3H5
Method: DFT, PBE
State: relaxed

a b c (Å): 12.8146 12.8146 12.8146
angles (deg): 109.47 109.47 109.47
Fractional positions:
H  0.1250  0.3750  0.2500
H  0.0000  0.5000  0.0000
H  0.0000  0.0000  0.0000
H  0.3750  0.2500  0.1250
H  0.5000  0.0000  0.5000
H  0.5000  0.5000  0.0000
H  0.1250  0.7500  0.3750
H  0.7500  0.1250  0.8750
H  0.7500  0.6250  0.3750
H  0.3750  0.1250  0.7500
H  0.6250  0.8750  0.2500
H  0.5000  0.5000  0.5000
H  0.5000  0.0000  0.0000
H  0.0000  0.0000  0.5000
H  0.2500  0.3750  0.6250
H  0.2500  0.8750  0.1250
H  0.0000  0.5000  0.5000
H  0.8750  0.2500  0.6250
H  0.6250  0.7500  0.8750
H  0.8750  0.6250  0.7500
Co  0.7500  0.3750  0.1250
Co  0.8750  0.7500  0.1250
Co  0.3750  0.7500  0.6250
Co  0.2500  0.1250  0.3750
Co  0.8750  0.1250  0.2500
Co  0.3750  0.6250  0.2500
Co  0.6250  0.3750  0.7500
Co  0.1250  0.8750  0.7500
Co  0.7500  0.8750  0.6250
Co  0.6250  0.2500  0.3750
Co  0.1250  0.2500  0.8750
Co  0.2500  0.6250  0.8750
Ho  0.7179  0.1224  0.0289
Ho  0.3109  0.5289  0.4064
Ho  0.9711  0.3776  0.2821
Ho  0.5289  0.2179  0.1224
Ho  0.5955  0.7179  0.6891
Ho  0.9711  0.5936  0.1891
Ho  0.3109  0.7821  0.4045
Ho  0.0936  0.9045  0.1224
Ho  0.5936  0.9711  0.6891
Ho  0.7179  0.5955  0.1891
Ho  0.7821  0.4711  0.3776
Ho  0.8109  0.9064  0.0289
Ho  0.1224  0.7179  0.5289
Ho  0.3776  0.4064  0.0955
Ho  0.0955  0.9064  0.3776
Ho  0.4045  0.1224  0.5936
Ho  0.0955  0.1891  0.2179
Ho  0.4711  0.6891  0.0936
Ho  0.8109  0.9045  0.2821
Ho  0.1224  0.4045  0.0936
Ho  0.3776  0.9711  0.7821
Ho  0.5936  0.6224  0.4045
Ho  0.9064  0.8109  0.5289
Ho  0.7821  0.3109  0.9045
Ho  0.4064  0.3776  0.5955
Ho  0.0936  0.1891  0.4711
Ho  0.2179  0.6891  0.0955
Ho  0.1891  0.0955  0.7179
Ho  0.6224  0.0289  0.2179
Ho  0.8776  0.5955  0.9064
Ho  0.5289  0.3109  0.9064
Ho  0.5955  0.8776  0.4064
Ho  0.9045  0.8109  0.7821
Ho  0.9045  0.0936  0.6224
Ho  0.8776  0.2821  0.4711
Ho  0.1891  0.0936  0.9711
Ho  0.6224  0.5936  0.9045
Ho  0.4064  0.0289  0.3109
Ho  0.2821  0.4045  0.8109
Ho  0.2179  0.5289  0.6224
Ho  0.9064  0.0955  0.8776
Ho  0.6891  0.2179  0.5955
Ho  0.4711  0.7821  0.8776
Ho  0.0289  0.4064  0.8109
Ho  0.4045  0.2821  0.3109
Ho  0.0289  0.6224  0.7179
Ho  0.6891  0.4711  0.5936
Ho  0.2821  0.8776  0.9711

crystal system: cubic
uncorrected energy: -389.76 eV for the cell shown
D(E_F): 67.6 states/eV/cell


Material: HoCoH2
Method: DFT, PBE
State: relaxed

a b c (Å): 3.7648 3.7648 4.4104
angles (deg): 64.73 64.73 60.00
Last column: magnetic moment on the atom in μB.
Fractional positions:
H  0.1348  0.1348  0.5955  0.00
H  0.8652  0.8652  0.4045  0.00
Co  0.0000  0.0000  0.0000  0.24
Ho  0.5000  0.5000  0.5000  -0.04

crystal system: trigonal
uncorrected energy: -19.47 eV for the cell shown
D(E_F): 2.6 states/eV/cell


Material: HoCo3H6
Method: DFT, PBE
State: relaxed

a b c (Å): 4.3773 4.3774 5.2684
angles (deg): 90.00 114.55 120.00
Last column: magnetic moment on the atom in μB.
Fractional positions:
Ho  0.7643  0.8821  0.6464  -0.01
Co  0.6760  0.3380  0.0140  0.77
Co  0.3466  0.6733  0.0198  0.60
Co  0.1446  0.0723  0.2168  0.47
H  0.3605  0.4366  0.7858  0.00
H  0.1590  0.7072  0.2485  -0.01
H  0.7967  0.0895  0.2485  -0.01
H  0.3493  0.9240  0.7858  0.00
H  0.8618  0.4253  0.7858  0.00
H  0.5414  0.4518  0.2485  -0.01

crystal system: trigonal
uncorrected energy: -48.08 eV for the cell shown
D(E_F): 3.2 states/eV/cell


Material: Ho2CoH4
Method: DFT, PBE
State: relaxed

a b c (Å): 3.4234 3.4234 6.7788
angles (deg): 75.37 75.37 90.00
Last column: magnetic moment on the atom in μB.
Fractional positions:
H  0.1333  0.1333  0.7335  0.00
H  0.8667  0.8667  0.2665  0.00
H  0.0000  0.5000  0.0000  0.00
H  0.5000  0.0000  0.0000  0.00
Co  0.0000  0.0000  0.0000  0.00
Ho  0.3564  0.3564  0.2872  0.14
Ho  0.6436  0.6436  0.7128  0.14

crystal system: tetragonal
uncorrected energy: -32.52 eV for the cell shown
D(E_F): 3.8 states/eV/cell